Computed, not measured: a relaxed SiOsCl2 crystal at the GGA-PBE level of DFT.

Output
V = 27.25 Å³/atom
uncorrected formation energy = 0.1482 eV per atom
offset from the most stable computed form = 346.1 meV/atom
DFT total energy = -4.938 eV/atom

Cell lengths 3.6485, 6.8541, 6.8572 Å; angles 39.47, 90.00, 90.00 degrees
Fractional coordinates of all 4 atoms:
Cl 0.0000 0.1254 0.1259
Cl 0.0000 0.3746 0.3741
Os 0.5000 0.2500 0.2500
Si 0.5000 0.7500 0.7500

Computed, not measured: a relaxed K3Cd2 crystal at the GGA-PBE level of DFT.

Output
formation enthalpy at 0 K = -0.10 eV/f.u.
V = 44.79 Å³/atom
offset from the most stable computed form = 27.9 meV/atom
DFT total energy = -1.045 eV/atom

Cell lengths 15.9709, 14.0595, 8.1128 Å; angles 87.89, 61.61, 30.51 degrees
Fractional coordinates of all 10 atoms:
K 0.5118 0.7702 0.3179
K 0.4001 0.3179 0.7702
K 0.4798 0.7382 0.8499
K 0.9321 0.8499 0.7382
K 0.7149 0.2851 0.2851
K 0.9649 0.5351 0.5351
Cd 0.0151 0.0390 0.5877
Cd 0.3581 0.5877 0.0390
Cd 0.2110 0.2349 0.8919
Cd 0.6623 0.8919 0.2349

Q: Among the records above, which one has the highest DFT total energy?
A: K3Cd2